Pm5PrOs2 | PBE-GGA | relaxed

a = 4.774 Å, b = 8.641 Å, c = 11.408 Å
α = 90.00°, β = 90.00°, γ = 90.00°
Space group Immm (No. 71)
Symmetry-distinct sites (fractional):
Pm (0.000, 0.000, 0.000) (multiplicity 2)
Pm (0.000, 0.306, 0.339) (multiplicity 8)
Pr (0.000, 0.500, 0.000) (multiplicity 2)
Os (0.000, 0.000, 0.260) (multiplicity 4)

Values from the calculation:
* spin magnetization: 0.0 μB per cell
* energy relative to the elements: 0.1070 eV per atom
* DFT total energy: -6.267 eV/atom

***

Pm4PrOs2 | PBE-GGA | relaxed

a = 7.994 Å, b = 6.595 Å, c = 8.053 Å
α = 90.00°, β = 112.50°, γ = 90.00°
Space group P2_1/m (No. 11)
Symmetry-distinct sites (fractional):
Pm (0.123, 0.250, 0.480) (multiplicity 2)
Pm (0.177, 0.750, 0.253) (multiplicity 2)
Pm (0.258, 0.502, 0.917) (multiplicity 4)
Pr (0.474, 0.250, 0.341) (multiplicity 2)
Os (0.090, 0.250, 0.125) (multiplicity 2)
Os (0.479, 0.250, 0.759) (multiplicity 2)

Values from the calculation:
* spin magnetization: 0.0 μB per cell
* energy relative to the elements: -0.0269 eV per atom
* DFT total energy: -6.633 eV/atom

***

Pm6Pr2Os | PBE-GGA | relaxed

a = 8.888 Å, b = 3.876 Å, c = 9.000 Å
α = 90.00°, β = 92.95°, γ = 90.00°
Space group P2/m (No. 10)
Symmetry-distinct sites (fractional):
Pm (0.036, 0.000, 0.199) (multiplicity 2)
Pm (0.225, 0.500, 0.546) (multiplicity 2)
Pm (0.447, 0.000, 0.286) (multiplicity 2)
Pr (0.301, 0.500, 0.970) (multiplicity 2)
Os (0.000, 0.000, 0.500) (multiplicity 1)

Values from the calculation:
* spin magnetization: 0.0 μB per cell
* energy relative to the elements: 0.0313 eV per atom
* DFT total energy: -5.446 eV/atom

***

PmPr3Os8 | PBE-GGA | relaxed

a = 5.4658 Å, b = 5.4658 Å, c = 26.6995 Å
α = 90.00°, β = 90.00°, γ = 120.00°
Space group R3m (No. 160, hexagonal axes)
Symmetry-distinct sites (fractional):
Pm (0.0000, 0.0000, 0.0000) (multiplicity 3)
Pr (0.0000, 0.0000, 0.3751) (multiplicity 3)
Pr (0.0000, 0.0000, 0.5003) (multiplicity 3)
Pr (0.0000, 0.0000, 0.8750) (multiplicity 3)
Os (0.0000, 0.0000, 0.1819) (multiplicity 3)
Os (0.0000, 0.0000, 0.6818) (multiplicity 3)
Os (0.0081, 0.5041, 0.4361) (multiplicity 9)
Os (0.0104, 0.5052, 0.9371) (multiplicity 9)

Values from the calculation:
* spin magnetization: 0.0 μB per cell
* energy relative to the elements: -0.0516 eV per atom
* DFT total energy: -9.129 eV/atom